1.
! Ag2AuSe PBEsol relaxed; values from VASP
! **Calculated volume**: 17.81 A^3/atom
! **Space group**: No. 216
! **Formation energy (no corrections)**: 148 meV per atom
&SYSTEM
  ibrav = 0, nat = 4, ntyp = 3
/
ATOMIC_SPECIES
Ag 107.87 Ag.upf
Au 196.97 Au.upf
Se 78.96 Se.upf
CELL_PARAMETERS angstrom
0.0000 3.2903 3.2903
3.2903 0.0000 3.2903
3.2903 3.2903 0.0000
ATOMIC_POSITIONS crystal
Ag 0.0000 0.0000 0.0000
Ag 0.2500 0.2500 0.2500
Au 0.5000 0.5000 0.5000
Se 0.7500 0.7500 0.7500

=====

2.
! Tl2CoP PBEsol relaxed; values from VASP
! **Calculated volume**: 18.92 A^3/atom
! **Space group**: No. 119
! **Calculated formation energy**: 0.706 eV per atom
&SYSTEM
  ibrav = 0, nat = 4, ntyp = 3
/
ATOMIC_SPECIES
Tl 204.38 Tl.upf
Co 58.93 Co.upf
P 30.97 P.upf
CELL_PARAMETERS angstrom
-2.0612 2.0612 4.4532
2.0612 -2.0612 4.4532
2.0612 2.0612 -4.4532
ATOMIC_POSITIONS crystal
Tl 0.0000 0.0000 0.0000
Tl 0.7500 0.2500 0.5000
Co 0.5000 0.5000 0.0000
P 0.2500 0.7500 0.5000

=====

3.
! Cs3MoPt PBEsol relaxed; values from VASP
! **Calculated volume**: 34.98 A^3/atom
! **Space group**: No. 221
! **Calculated formation energy**: 1.621 eV per atom
&SYSTEM
  ibrav = 0, nat = 5, ntyp = 3
/
ATOMIC_SPECIES
Cs 132.91 Cs.upf
Mo 95.94 Mo.upf
Pt 195.08 Pt.upf
CELL_PARAMETERS angstrom
5.5922 0.0000 0.0000
0.0000 5.5922 0.0000
0.0000 0.0000 5.5922
ATOMIC_POSITIONS crystal
Cs 0.0000 0.0000 0.5000
Cs 0.0000 0.5000 0.0000
Cs 0.5000 0.0000 0.0000
Mo 0.0000 0.0000 0.0000
Pt 0.5000 0.5000 0.5000

=====

4.
! Pt2Au PBEsol relaxed; values from VASP
! **Calculated volume**: 15.60 A^3/atom
! **Space group**: No. 71
! **Calculated formation energy**: 0.082 eV per atom
&SYSTEM
  ibrav = 0, nat = 3, ntyp = 2
/
ATOMIC_SPECIES
Pt 195.08 Pt.upf
Au 196.97 Au.upf
CELL_PARAMETERS angstrom
-1.3955 1.9735 4.2485
1.3955 -1.9735 4.2485
1.3955 1.9735 -4.2485
ATOMIC_POSITIONS crystal
Pt 0.1690 0.1690 0.0000
Pt 0.8310 0.8310 0.0000
Au 0.5000 0.5000 0.0000

=====

Calculated calculated total energy in order - -0.2536 -0.2933 -0.1978 -0.4313 Ry per atom
Calculated size of the total moment in order - 0.0 1.3 1.5 0.0 μB/cell